! PrYMg3 PBE optimized geometry; values from VASP
! ΔE to the lowest computed polymorph = 0.00 kJ per mole of atoms
! V = 27.69 Å³/atom
! E_form = -0.059 eV per atom
&SYSTEM
  ibrav = 0, nat = 20, ntyp = 3
/
ATOMIC_SPECIES
Pr 140.91 Pr.upf
Y 88.91 Y.upf
Mg 24.30 Mg.upf
CELL_PARAMETERS angstrom
10.118 -5.375 0.000
10.118 5.375 0.000
-1.373 0.000 5.092
ATOMIC_POSITIONS crystal
Pr 0.072 0.325 0.449
Pr 0.325 0.072 0.949
Pr 0.675 0.928 0.051
Pr 0.928 0.675 0.551
Y 0.129 0.871 0.750
Y 0.369 0.631 0.250
Y 0.631 0.369 0.750
Y 0.871 0.129 0.250
Mg 0.027 0.783 0.154
Mg 0.165 0.457 0.062
Mg 0.217 0.973 0.346
Mg 0.280 0.505 0.644
Mg 0.457 0.165 0.562
Mg 0.495 0.720 0.856
Mg 0.505 0.280 0.144
Mg 0.543 0.835 0.438
Mg 0.720 0.495 0.356
Mg 0.783 0.027 0.654
Mg 0.835 0.543 0.938
Mg 0.973 0.217 0.846

---

! Pr2YMg4 PBE optimized geometry; values from VASP
! ΔE to the lowest computed polymorph = 38.44 kJ per mole of atoms
! V = 36.87 Å³/atom
! E_form = 0.506 eV per atom
&SYSTEM
  ibrav = 0, nat = 7, ntyp = 3
/
ATOMIC_SPECIES
Pr 140.91 Pr.upf
Y 88.91 Y.upf
Mg 24.30 Mg.upf
CELL_PARAMETERS angstrom
-2.800 2.800 8.232
2.800 -2.800 8.232
2.800 2.800 -8.232
ATOMIC_POSITIONS crystal
Pr 0.108 0.108 0.000
Pr 0.892 0.892 0.000
Y 0.500 0.500 0.000
Mg 0.000 0.500 0.500
Mg 0.316 0.316 0.000
Mg 0.500 0.000 0.500
Mg 0.684 0.684 0.000

---

! PrY4Mg PBE optimized geometry; values from VASP
! ΔE to the lowest computed polymorph = 0.00 kJ per mole of atoms
! V = 31.56 Å³/atom
! E_form = -0.018 eV per atom
&SYSTEM
  ibrav = 0, nat = 6, ntyp = 3
/
ATOMIC_SPECIES
Pr 140.91 Pr.upf
Y 88.91 Y.upf
Mg 24.30 Mg.upf
CELL_PARAMETERS angstrom
3.652 0.000 0.000
0.000 3.652 0.000
0.000 0.000 14.197
ATOMIC_POSITIONS crystal
Pr 0.000 0.000 0.000
Y 0.000 0.000 0.354
Y 0.000 0.000 0.646
Y 0.500 0.500 0.180
Y 0.500 0.500 0.820
Mg 0.500 0.500 0.500

---

! PrYMg4 PBE optimized geometry; values from VASP
! ΔE to the lowest computed polymorph = 0.00 kJ per mole of atoms
! V = 26.78 Å³/atom
! E_form = -0.103 eV per atom
&SYSTEM
  ibrav = 0, nat = 6, ntyp = 3
/
ATOMIC_SPECIES
Pr 140.91 Pr.upf
Y 88.91 Y.upf
Mg 24.30 Mg.upf
CELL_PARAMETERS angstrom
0.000 4.315 4.315
4.315 0.000 4.315
4.315 4.315 0.000
ATOMIC_POSITIONS crystal
Pr 0.000 0.000 0.000
Y 0.250 0.250 0.250
Mg 0.125 0.625 0.625
Mg 0.625 0.125 0.625
Mg 0.625 0.625 0.125
Mg 0.625 0.625 0.625

---

! Pr4Y2Mg PBE optimized geometry; values from VASP
! ΔE to the lowest computed polymorph = 3.29 kJ per mole of atoms
! V = 35.21 Å³/atom
! E_form = 0.115 eV per atom
&SYSTEM
  ibrav = 0, nat = 7, ntyp = 3
/
ATOMIC_SPECIES
Pr 140.91 Pr.upf
Y 88.91 Y.upf
Mg 24.30 Mg.upf
CELL_PARAMETERS angstrom
6.036 0.000 0.000
0.000 3.725 0.000
-1.849 0.000 10.962
ATOMIC_POSITIONS crystal
Pr 0.043 0.000 0.204
Pr 0.440 0.500 0.751
Pr 0.560 0.500 0.249
Pr 0.957 0.000 0.796
Y 0.000 0.500 0.500
Y 0.500 0.000 0.500
Mg 0.500 0.000 0.000

---

! PrY2Mg PBE optimized geometry; values from VASP
! ΔE to the lowest computed polymorph = 0.00 kJ per mole of atoms
! V = 31.01 Å³/atom
! E_form = -0.041 eV per atom
&SYSTEM
  ibrav = 0, nat = 4, ntyp = 3
/
ATOMIC_SPECIES
Pr 140.91 Pr.upf
Y 88.91 Y.upf
Mg 24.30 Mg.upf
CELL_PARAMETERS angstrom
3.724 0.000 0.000
0.000 3.724 0.000
0.000 0.000 8.947
ATOMIC_POSITIONS crystal
Pr 0.000 0.000 0.000
Y 0.500 0.500 0.282
Y 0.500 0.500 0.718
Mg 0.000 0.000 0.500

---

! Pr4Y10Mg PBE optimized geometry; values from VASP
! V = 34.93 Å³/atom
! E_form = 0.358 eV per atom
&SYSTEM
  ibrav = 0, nat = 15, ntyp = 3
/
ATOMIC_SPECIES
Pr 140.91 Pr.upf
Y 88.91 Y.upf
Mg 24.30 Mg.upf
CELL_PARAMETERS angstrom
-4.987 4.987 5.266
4.987 -4.987 5.266
4.987 4.987 -5.266
ATOMIC_POSITIONS crystal
Pr 0.071 0.328 0.399
Pr 0.328 0.929 0.257
Pr 0.672 0.071 0.743
Pr 0.929 0.672 0.601
Y 0.127 0.448 0.899
Y 0.228 0.127 0.679
Y 0.250 0.750 0.500
Y 0.448 0.549 0.321
Y 0.451 0.772 0.899
Y 0.549 0.228 0.101
Y 0.552 0.451 0.679
Y 0.750 0.250 0.500
Y 0.772 0.873 0.321
Y 0.873 0.552 0.101
Mg 0.000 0.000 0.000

---

! PrY2Mg2 PBE optimized geometry; values from VASP
! ΔE to the lowest computed polymorph = 0.00 kJ per mole of atoms
! V = 29.52 Å³/atom
! E_form = -0.082 eV per atom
&SYSTEM
  ibrav = 0, nat = 10, ntyp = 3
/
ATOMIC_SPECIES
Pr 140.91 Pr.upf
Y 88.91 Y.upf
Mg 24.30 Mg.upf
CELL_PARAMETERS angstrom
3.797 0.000 0.000
0.000 5.535 0.000
-1.902 0.000 14.042
ATOMIC_POSITIONS crystal
Pr 0.151 0.250 0.300
Pr 0.849 0.750 0.700
Y 0.046 0.750 0.091
Y 0.237 0.750 0.474
Y 0.763 0.250 0.526
Y 0.954 0.250 0.909
Mg 0.359 0.250 0.719
Mg 0.450 0.750 0.900
Mg 0.550 0.250 0.100
Mg 0.641 0.750 0.281

---

! PrY14Mg PBE optimized geometry; values from VASP
! V = 32.22 Å³/atom
! E_form = 0.049 eV per atom
&SYSTEM
  ibrav = 0, nat = 16, ntyp = 3
/
ATOMIC_SPECIES
Pr 140.91 Pr.upf
Y 88.91 Y.upf
Mg 24.30 Mg.upf
CELL_PARAMETERS angstrom
11.124 0.000 0.000
0.000 4.163 5.565
0.000 -4.163 5.565
ATOMIC_POSITIONS crystal
Pr 0.000 0.000 0.000
Y 0.000 0.512 0.955
Y 0.000 0.955 0.512
Y 0.244 0.301 0.719
Y 0.244 0.719 0.301
Y 0.252 0.790 0.790
Y 0.253 0.231 0.231
Y 0.500 0.441 0.441
Y 0.500 0.508 0.928
Y 0.500 0.928 0.508
Y 0.500 0.997 0.997
Y 0.747 0.231 0.231
Y 0.748 0.790 0.790
Y 0.756 0.301 0.719
Y 0.756 0.719 0.301
Mg 0.000 0.464 0.464

---

! Pr2Y6Mg PBE optimized geometry; values from VASP
! ΔE to the lowest computed polymorph = 0.00 kJ per mole of atoms
! V = 32.29 Å³/atom
! E_form = 0.024 eV per atom
&SYSTEM
  ibrav = 0, nat = 18, ntyp = 3
/
ATOMIC_SPECIES
Pr 140.91 Pr.upf
Y 88.91 Y.upf
Mg 24.30 Mg.upf
CELL_PARAMETERS angstrom
10.687 0.000 0.000
0.000 10.687 0.000
0.000 0.000 5.089
ATOMIC_POSITIONS crystal
Pr 0.166 0.166 0.000
Pr 0.334 0.666 0.500
Pr 0.666 0.334 0.500
Pr 0.834 0.834 0.000
Y 0.000 0.333 0.500
Y 0.000 0.667 0.500
Y 0.166 0.834 0.000
Y 0.167 0.500 0.000
Y 0.333 0.000 0.500
Y 0.334 0.334 0.500
Y 0.500 0.167 0.000
Y 0.500 0.833 0.000
Y 0.666 0.666 0.500
Y 0.667 0.000 0.500
Y 0.833 0.500 0.000
Y 0.834 0.166 0.000
Mg 0.000 0.000 0.500
Mg 0.500 0.500 0.000

---

! Pr2YMg PBE optimized geometry; values from VASP
! ΔE to the lowest computed polymorph = 0.00 kJ per mole of atoms
! V = 32.31 Å³/atom
! E_form = -0.034 eV per atom
&SYSTEM
  ibrav = 0, nat = 4, ntyp = 3
/
ATOMIC_SPECIES
Pr 140.91 Pr.upf
Y 88.91 Y.upf
Mg 24.30 Mg.upf
CELL_PARAMETERS angstrom
3.771 0.000 0.000
0.000 3.771 0.000
0.000 0.000 9.088
ATOMIC_POSITIONS crystal
Pr 0.000 0.000 0.228
Pr 0.000 0.000 0.772
Y 0.500 0.500 0.500
Mg 0.500 0.500 0.000

---

! PrYMg PBE optimized geometry; values from VASP
! ΔE to the lowest computed polymorph = 0.00 kJ per mole of atoms
! V = 30.76 Å³/atom
! E_form = -0.058 eV per atom
&SYSTEM
  ibrav = 0, nat = 6, ntyp = 3
/
ATOMIC_SPECIES
Pr 140.91 Pr.upf
Y 88.91 Y.upf
Mg 24.30 Mg.upf
CELL_PARAMETERS angstrom
3.775 0.000 0.000
0.000 3.775 0.000
0.000 0.000 12.952
ATOMIC_POSITIONS crystal
Pr 0.250 0.250 0.098
Pr 0.750 0.750 0.902
Y 0.250 0.250 0.411
Y 0.750 0.750 0.589
Mg 0.250 0.250 0.738
Mg 0.750 0.750 0.262